# 1
# LiLa2Ir

A relaxed structure of LiLa2Ir (PBE, Alexandria).

The structure in POSCAR format:
```
LiLa2Ir
1.0
4.0504 0.0000 0.0000
0.0000 4.5139 0.0000
-2.0027 0.0000 5.5827
Li La Ir
1 2 1
Direct
0.0000 0.0000 0.0000
0.4275 0.5000 0.8555
0.6967 0.0000 0.3971
0.1283 0.5000 0.2619
```

Summary:
symmetry	Pm
magnetic moment	0.00	μB/f.u.
formation energy from the elements	-0.335	eV/atom


# 2
# LiLa2Ir

A relaxed structure of LiLa2Ir (PBE, Alexandria).

The structure in POSCAR format:
```
LiLa2Ir
1.0
8.1943 0.0000 0.0000
0.0000 8.1943 0.0000
0.0000 0.0000 6.6844
Li La Ir
4 8 4
Direct
0.0000 0.0000 0.0000
0.0000 0.5000 0.2500
0.5000 0.0000 0.7500
0.5000 0.5000 0.5000
0.2041 0.2500 0.6250
0.2500 0.7041 0.8750
0.2500 0.7959 0.3750
0.2959 0.2500 0.1250
0.7041 0.7500 0.1250
0.7500 0.2041 0.3750
0.7500 0.2959 0.8750
0.7959 0.7500 0.6250
0.0000 0.0000 0.5000
0.0000 0.5000 0.7500
0.5000 0.0000 0.2500
0.5000 0.5000 0.0000
```

Summary:
symmetry	I-42d
magnetic moment	0.00	μB/f.u.
formation energy from the elements	-0.146	eV/atom